(1)
## CeAg3F7 (GGA-PBE)

Data for a relaxed structure of CeAg3F7.

Summary:
The calculation puts the volume at 189.7 Å³/f.u. The value obtained for the uncorrected formation energy is -2.240 eV/atom. For the raw total energy, the calculation gives -4.747 eV per atom. The calculation puts the size of the total moment at 0.000 Bohr magnetons per cell. As for the space-group type: Cm.

Cell: 5.7951 5.7951 6.9849 Å, 114.87 114.87 88.69°
With the nearest neighbours (Å) after each atom.
Sites, in units of the cell vectors:
Ce 0.0000 0.0000 0.0000  7 F 2.21-2.31
Ag 0.2556 0.7247 0.5277  5 F 2.40-2.55
Ag 0.4686 0.4686 0.0042  5 F 2.33-2.59
Ag 0.7247 0.2556 0.5277  5 F 2.40-2.55
F 0.0963 0.0963 0.7530  1 Ce 2.29, 3 Ag 2.50
F 0.0959 0.6432 0.7688  1 Ce 2.26, 1 Ag 2.43
F 0.2659 0.8724 0.2572  1 Ce 2.21, 1 Ag 2.40
F 0.3440 0.3440 0.2466  1 Ce 2.31, 3 Ag 2.45-2.48
F 0.6432 0.0959 0.7688  1 Ce 2.26, 1 Ag 2.43
F 0.6908 0.6908 0.9018  1 Ce 2.23, 1 Ag 2.33
F 0.8724 0.2659 0.2572  1 Ce 2.21, 1 Ag 2.40

***

(2)
## V4TcRu3 (GGA-PBE)

Data for a relaxed structure of V4TcRu3.

Summary:
The calculation puts the volume at 109.5 Å³/f.u. The calculation puts the formation energy at -0.280 eV/atom. For the raw total energy, the calculation gives -9.613 eV per atom. The calculation puts the size of the total moment at 0.004 Bohr magnetons per cell. As for the space-group type: P4/mmm.

Cell: 3.0105 3.0105 12.0812 Å, 90.00 90.00 90.00°
With the nearest neighbours (Å) after each atom.
Sites, in units of the cell vectors:
V 0.0000 0.0000 0.1212  4 Tc 2.58, 4 Ru 2.65
V 0.0000 0.0000 0.3748  8 Ru 2.60-2.61
V 0.0000 0.0000 0.6252  8 Ru 2.60-2.61
V 0.0000 0.0000 0.8788  4 Tc 2.58, 4 Ru 2.65
Tc 0.5000 0.5000 0.0000  8 V 2.58
Ru 0.5000 0.5000 0.2513  8 V 2.60-2.65
Ru 0.5000 0.5000 0.5000  8 V 2.61
Ru 0.5000 0.5000 0.7487  8 V 2.60-2.65

***

(3)
## PuCuAgO4 (GGA-PBE)

Data for a relaxed structure of PuCuAgO4.

Summary:
The calculation puts the volume at 100.3 Å³/f.u. The value obtained for the uncorrected formation energy is -1.503 eV/atom. For the raw total energy, the calculation gives -7.376 eV per atom. The calculation puts the size of the total moment at 3.952 Bohr magnetons per cell. As for the space-group type: Imma.

Cell: 6.7666 6.7666 6.7666 Å, 129.21 119.61 82.75°
With the nearest neighbours (Å) after each atom.
Sites, in units of the cell vectors:
Pu 0.0000 0.0000 0.0000  6 O 2.15
Pu 0.5000 0.0000 0.5000  6 O 2.15
Cu 0.5000 0.0000 0.0000  4 O 2.01
Cu 0.5000 0.5000 0.5000  4 O 2.01
Ag 0.0648 0.3148 0.7500  4 O 2.34-2.35
Ag 0.9352 0.6852 0.2500  4 O 2.34-2.35
O 0.2336 0.2070 0.4733  2 Pu 2.15, 1 Ag 2.35
O 0.2336 0.7603 0.0267  2 Pu 2.15, 1 Ag 2.35
O 0.2640 0.2089 0.0551  2 Cu 2.01, 1 Pu 2.15
O 0.3462 0.7911 0.5551  2 Cu 2.01, 1 Pu 2.15
O 0.6538 0.2089 0.4449  2 Cu 2.01, 1 Pu 2.15
O 0.7360 0.7911 0.9449  2 Cu 2.01, 1 Pu 2.15
O 0.7664 0.2397 0.9733  2 Pu 2.15, 1 Ag 2.35
O 0.7664 0.7930 0.5267  2 Pu 2.15, 1 Ag 2.35

***

(4)
## Na8Tl6Pt (GGA-PBE)

Data for a relaxed structure of Na8Tl6Pt.

Summary:
The calculation puts the volume at 461.2 Å³/f.u. The calculation puts the formation energy at -0.075 eV/atom. For the raw total energy, the calculation gives -2.128 eV per atom. The calculation puts the size of the total moment at 0.000 Bohr magnetons per cell. As for the space-group type: R-3.

Cell: 8.4849 8.4849 8.4849 Å, 63.05 63.05 63.05°
With the nearest neighbours (Å) after each atom.
Sites, in units of the cell vectors:
Na 0.0071 0.7423 0.3978  5 Tl 3.24-3.46, 2 Na 3.54
Na 0.1613 0.1613 0.1613  6 Tl 3.23-3.34
Na 0.2577 0.6022 0.9929  5 Tl 3.24-3.46, 2 Na 3.54
Na 0.3978 0.0071 0.7423  5 Tl 3.24-3.46, 2 Na 3.54
Na 0.6022 0.9929 0.2577  5 Tl 3.24-3.46, 2 Na 3.54
Na 0.7423 0.3978 0.0071  5 Tl 3.24-3.46, 2 Na 3.54
Na 0.8387 0.8387 0.8387  6 Tl 3.23-3.34
Na 0.9929 0.2577 0.6022  5 Tl 3.24-3.46, 2 Na 3.54
Tl 0.1531 0.4462 0.7498  1 Pt 2.84
Tl 0.2502 0.8469 0.5538  1 Pt 2.84
Tl 0.4462 0.7498 0.1531  1 Pt 2.84
Tl 0.5538 0.2502 0.8469  1 Pt 2.84
Tl 0.7498 0.1531 0.4462  1 Pt 2.84
Tl 0.8469 0.5538 0.2502  1 Pt 2.84
Pt 0.5000 0.5000 0.5000  6 Tl 2.84

***

(5)
## CaZn2Se (GGA-PBE)

Data for a relaxed structure of CaZn2Se.

Summary:
The calculation puts the volume at 95.2 Å³/f.u. The value obtained for the uncorrected formation energy is -0.610 eV/atom. For the raw total energy, the calculation gives -2.618 eV per atom. The calculation puts the size of the total moment at 0.000 Bohr magnetons per cell. As for the space-group type: Cm.

Cell: 4.5946 4.5946 5.7531 Å, 99.09 99.09 52.81°
With the nearest neighbours (Å) after each atom.
Sites, in units of the cell vectors:
Ca 0.0000 0.0000 0.0000  3 Se 2.90-2.91, 2 Zn 3.13
Zn 0.4151 0.4151 0.3721  3 Zn 2.53-2.59, 1 Se 2.65
Zn 0.7240 0.7240 0.3845  3 Zn 2.53-2.59
Se 0.2814 0.2814 0.7591  3 Zn 2.65-2.95, 3 Ca 2.90-2.91

***

(6)
## NaPuSb2 (GGA-PBE)

Data for a relaxed structure of NaPuSb2.

Summary:
The calculation puts the volume at 107.4 Å³/f.u. The value obtained for the uncorrected formation energy is -0.448 eV/atom. Its relative energy among the computed polymorphs is 0.000 eV per atom. For the raw total energy, the calculation gives -6.422 eV per atom. The calculation puts the size of the total moment at 5.813 Bohr magnetons per cell. As for the space-group type: P4/mmm.

Cell: 3.3978 3.3978 9.3043 Å, 90.00 90.00 90.00°
With the nearest neighbours (Å) after each atom.
Sites, in units of the cell vectors:
Na 0.0000 0.0000 0.0000  8 Sb 3.38, 4 Na 3.40
Pu 0.0000 0.0000 0.5000  8 Sb 3.31, 4 Pu 3.40
Sb 0.5000 0.5000 0.2556  4 Pu 3.31, 4 Na 3.38, 4 Sb 3.40
Sb 0.5000 0.5000 0.7444  4 Pu 3.31, 4 Na 3.38, 4 Sb 3.40

***

(7)
## SrHOF (GGA-PBE)

Data for a relaxed structure of SrHOF.

Summary:
The calculation puts the volume at 55.2 Å³/f.u. For the raw total energy, the calculation gives -5.499 eV per atom. The calculation puts the size of the total moment at 0.000 Bohr magnetons per cell. As for the space-group type: Pmm2.

Cell: 3.3330 4.0059 4.1366 Å, 90.00 90.00 90.00°
With the nearest neighbours (Å) after each atom.
Sites, in units of the cell vectors:
Sr 0.0000 0.0000 0.0000  4 F 2.53-2.79, 4 O 2.62
H 0.5000 0.5000 0.6953  1 O 0.98
O 0.5000 0.5000 0.9318  1 H 0.98
F 0.5000 0.0000 0.4589  2 H 2.23

***

(8)
## PmDySiPt (GGA-PBE)

Data for a relaxed structure of PmDySiPt.

Summary:
The calculation puts the volume at 90.9 Å³/f.u. The value obtained for the uncorrected formation energy is -0.796 eV/atom. Its relative energy among the computed polymorphs is 0.201 eV per atom. For the raw total energy, the calculation gives -6.001 eV per atom. The calculation puts the size of the total moment at 0.000 Bohr magnetons per cell. As for the space-group type: F-43m.

Cell: 5.0474 5.0474 5.0474 Å, 60.00 60.00 60.00°
With the nearest neighbours (Å) after each atom.
Sites, in units of the cell vectors:
Pm 0.0000 0.0000 0.0000  4 Pt 3.09, 4 Si 3.09
Dy 0.5000 0.5000 0.5000  4 Si 3.09, 4 Pt 3.09
Si 0.7500 0.7500 0.7500  4 Dy 3.09, 4 Pm 3.09
Pt 0.2500 0.2500 0.2500  4 Dy 3.09, 4 Pm 3.09